Material: Pu4ReGe8
Method: DFT, PBE
State: relaxed

Output
- size of the total moment (μB/f.u.) = 20.68
- E (eV/atom) = -8.4616
- DFT formation energy (meV per atom) = -253

a = 4.0923 Å, b = 4.2600 Å, c = 15.4951 Å
α = 90.00°, β = 90.00°, γ = 90.00°
Last column: nearest neighbours and their distance in Å.
Sites, in units of the cell vectors:
Ge 0.5000 0.0000 0.2210  2 Re 2.48
Ge 0.5000 0.0000 0.5788  2 Ge 2.65
Ge 0.5000 0.5000 0.0547  2 Ge 2.78, 4 Pu 2.99
Ge 0.0000 0.5000 0.9332  2 Ge 2.78, 4 Pu 2.99
Ge 0.0000 0.0000 0.7526  4 Ge 2.96, 4 Pu 3.04-3.10
Ge 0.0000 0.0000 0.4706  1 Re 2.46, 2 Ge 2.65
Ge 0.0000 0.5000 0.2222  2 Re 2.54
Ge 0.5000 0.5000 0.7630  4 Ge 2.96, 4 Pu 3.04-3.10
Re 0.0000 0.0000 0.3119  5 Ge 2.46-2.54
Pu 0.0000 0.5000 0.6129  10 Ge 3.00-3.10
Pu 0.0000 0.0000 0.0860  10 Ge 2.93-3.18
Pu 0.5000 0.5000 0.3931  8 Ge 3.19-3.41, 4 Re 3.21
Pu 0.5000 0.0000 0.9028  10 Ge 2.99-3.17

Material: Y3SeI
Method: DFT, PBE
State: relaxed

Output
- size of the total moment (μB/f.u.) = 2.65
- offset from the most stable computed form (eV/f.u.) = 0.00
- raw formation energy (meV/atom) = -389.1
- E (eV/atom) = -5.2744

a = 5.4474 Å, b = 5.4474 Å, c = 5.4474 Å
α = 90.00°, β = 90.00°, γ = 90.00°
Last column: nearest neighbours and their distance in Å.
Sites, in units of the cell vectors:
Se 0.0000 0.0000 0.0000  6 Y 2.72
Y 0.0000 0.0000 0.5000  2 Se 2.72
Y 0.0000 0.5000 0.0000  2 Se 2.72
Y 0.5000 0.0000 0.0000  2 Se 2.72
I 0.5000 0.5000 0.5000  12 Y 3.85

Material: K2InRu
Method: DFT, PBE
State: relaxed

Output
- size of the total moment (μB/f.u.) = 1.13
- E (eV/atom) = -2.7632
- DFT formation energy (meV per atom) = 789

a = 5.7594 Å, b = 3.2221 Å, c = 6.0143 Å
α = 70.92°, β = 90.00°, γ = 90.00°
Last column: nearest neighbours and their distance in Å.
Sites, in units of the cell vectors:
K 0.0000 0.0577 0.0135  4 K 2.89-3.22
K 0.0000 0.4423 0.4865  4 K 2.89-3.22
Ru 0.5000 0.2500 0.2500  2 In 2.91, 2 Ru 3.22
In 0.5000 0.7500 0.7500  2 Ru 2.91, 2 In 3.22

Question: What is the size of the total moment in the third record?
Answer: 1.13 μB/f.u.

Question: Among the records above, which one has the lowest size of the total moment?
Answer: K2InRu

Question: What is the E in the second record?
Answer: -5.2744 eV/atom

Question: Which formula does entry 3 have?
Answer: K2InRu